Compound: LiTmAl2Ag4
Source: Alexandria
Functional: PBE
Structure: relaxed

Properties
- formation energy (eV per atom) = -0.2556
- size of the total moment (Bohr magnetons per cell) = 0.0
- raw total energy (eV/cell) = -27.32
- V (Å³ per cell) = 144
- SG = R-3m, No. 166

Unit cell a=8.386 b=8.386 c=8.386 alpha=31.64 beta=31.64 gamma=31.64
Fractional positions:
Li: 0.000 0.000 0.000
Tm: 0.500 0.500 0.500
Al: 0.252 0.252 0.252
Al: 0.748 0.748 0.748
Ag: 0.108 0.108 0.108
Ag: 0.370 0.370 0.370
Ag: 0.630 0.630 0.630
Ag: 0.892 0.892 0.892



Compound: LiTmAlAg
Source: Alexandria
Functional: PBE
Structure: relaxed

Properties
- formation energy (eV per atom) = -0.3172
- size of the total moment (Bohr magnetons per cell) = 0.0
- raw total energy (eV/cell) = -14.25
- V (Å³ per cell) = 74
- SG = F-43m, No. 216

Unit cell a=4.720 b=4.720 c=4.720 alpha=60.00 beta=60.00 gamma=60.00
Fractional positions:
Li: 0.000 0.000 0.000
Tm: 0.250 0.250 0.250
Al: 0.750 0.750 0.750
Ag: 0.500 0.500 0.500



What is the formula in the second record?
LiTmAlAg



The lowest V belongs to which entry?
LiTmAlAg